A relaxed structure of In3Sb, computed with PBE-GGA.

Output
calculated volume = 112 Å³/cell
crystal system = tetragonal
E_tot = -3.04 eV/atom

```
In3Sb
1.0
5.873 0.054 0.000
1.842 5.577 0.000
-3.857 -2.816 3.418
In Sb
3 1
direct
0.750 0.250 0.500
0.500 0.500 0.000
0.250 0.750 0.500
0.000 0.000 0.000
```

=====

A relaxed structure of InSb, computed with PBE-GGA.

Output
calculated volume = 115 Å³/cell
crystal system = orthorhombic
E_tot = -3.36 eV/atom

```
InSb
1.0
-2.512 3.224 -5.043
-4.542 -2.804 -3.694
1.520 1.690 6.080
In Sb
2 2
direct
0.643 0.393 0.750
0.357 0.607 0.250
0.900 0.150 0.250
0.100 0.850 0.750
```

=====

A relaxed structure of In3Sb, computed with PBE-GGA.

Output
calculated volume = 231 Å³/cell
crystal system = cubic
E_tot = -3.00 eV/atom

```
In3Sb
1.0
-4.282 -1.164 -4.232
-0.940 -5.532 2.472
-4.287 2.376 3.685
In Sb
6 2
direct
0.500 0.000 0.750
0.750 0.500 0.000
0.000 0.750 0.500
0.000 0.250 0.500
0.500 0.000 0.250
0.250 0.500 0.000
0.500 0.500 0.500
0.000 0.000 0.000
```

=====

A relaxed structure of InSb3, computed with PBE-GGA.

Output
calculated volume = 115 Å³/cell
crystal system = orthorhombic
E_tot = -3.70 eV/atom

```
InSb3
1.0
3.293 0.000 0.000
0.000 6.248 0.000
0.000 0.000 5.587
Sb In
3 1
direct
0.500 0.000 0.667
0.000 0.500 0.167
0.500 0.500 0.667
0.000 0.000 0.166
```